# K2Rb4Se, optimized geometry, DFT PBE-GGA
data_K2Rb4Se
_symmetry_space_group_name_H-M 'I 4/m m m'
_symmetry_Int_Tables_number 139
_symmetry_space_group_name_Hall '-I 4 2'
_cell_length_a 6.643
_cell_length_b 6.643
_cell_length_c 24.947
_cell_angle_alpha 90.00
_cell_angle_beta 90.00
_cell_angle_gamma 90.00
loop_
_atom_site_label
_atom_site_fract_x
_atom_site_fract_y
_atom_site_fract_z
_atom_site_occupancy
K1 0.000 0.000 0.189 1
Rb1 0.000 0.000 0.368 1
Rb2 0.000 0.500 0.000 1
Se1 0.000 0.000 0.500 1
# Density = 1.51 Mg/m³
# Total magnetization = 0.0000 μB per atom
# VASP energy = -1.738 eV per atom